Material: Pr3In2Hg7
Method: DFT, PBE
State: optimized geometry

Computed properties:
The density of states at the Fermi level comes out at 9.23 states/eV per cell. The total energy is -2.0963 eV/atom. The formation energy is -269 meV/atom. As for the space group: Cmmm.

The structure in POSCAR format:
```
Pr3In2Hg7
1.0
4.752 0.000 0.000
0.000 4.787 0.000
0.000 -2.394 15.059
Pr In Hg
3 2 7
direct
0.500 0.500 0.000
0.500 0.655 0.310
0.500 0.345 0.690
0.000 0.848 0.697
0.000 0.152 0.303
0.000 0.424 0.848
0.000 0.724 0.449
0.000 0.000 0.000
0.000 0.576 0.152
0.500 0.079 0.158
0.500 0.921 0.842
0.000 0.276 0.551
```